## La3Ce2YN6 (PBE)

Data for a geometry-optimized La3Ce2YN6 structure.

N(E_F) = 10.15 states/eV/cell
raw total energy = -8.3696 eV per atom
total moment = 0.0 μB per cell
volume = 16.97 Å³/atom

Unit cell a=6.272 b=10.867 c=6.331 alpha=90.00 beta=109.28 gamma=90.00
Space group C2/m (No. 12)
Symmetry-distinct sites (fractional):
La1 0.000 0.000 0.000
La2 0.000 0.334 0.000
Ce1 0.000 0.167 0.500
Y1 0.000 0.500 0.500
N1 0.240 0.000 0.729
N2 0.244 0.332 0.728